Entry 1:
Nb2CdGaSi | PBE | optimized geometry

Output
* SG: P4/mmm, No. 123
* ΔE_f (raw): 1721 meV per atom

a = 5.156 Å, b = 5.156 Å, c = 4.480 Å
α = 90.00°, β = 90.00°, γ = 90.00°
Sites, in units of the cell vectors:
Nb (0.000, 0.500, 0.000)
Nb (0.500, 0.000, 0.000)
Cd (0.000, 0.000, 0.000)
Ga (0.500, 0.500, 0.500)
Si (0.000, 0.000, 0.500)

---

Entry 2:
AlBIr3 | PBE | optimized geometry

Output
* energy relative to the elements: -0.249 eV per atom
* SG: P6_3/mmc, No. 194

a = 5.932 Å, b = 5.932 Å, c = 4.347 Å
α = 90.00°, β = 90.00°, γ = 120.00°
Sites, in units of the cell vectors:
Al (0.333, 0.667, 0.250)
Al (0.667, 0.333, 0.750)
B (0.000, 0.000, 0.000)
B (0.000, 0.000, 0.500)
Ir (0.181, 0.363, 0.750)
Ir (0.181, 0.819, 0.750)
Ir (0.363, 0.181, 0.250)
Ir (0.637, 0.819, 0.750)
Ir (0.819, 0.181, 0.250)
Ir (0.819, 0.637, 0.250)

---

Entry 3:
TcOs2 | PBE | optimized geometry

Output
* energy relative to the elements: 0.448 eV per atom
* SG: P6_3/mmc, No. 194
* energy above the lowest structure with this stoichiometry: 520 meV per atom

a = 5.138 Å, b = 5.138 Å, c = 8.093 Å
α = 90.00°, β = 90.00°, γ = 120.00°
Sites, in units of the cell vectors:
Tc (0.333, 0.667, 0.086)
Tc (0.333, 0.667, 0.414)
Tc (0.667, 0.333, 0.586)
Tc (0.667, 0.333, 0.914)
Os (0.000, 0.000, 0.000)
Os (0.000, 0.000, 0.500)
Os (0.175, 0.350, 0.750)
Os (0.175, 0.825, 0.750)
Os (0.350, 0.175, 0.250)
Os (0.650, 0.825, 0.750)
Os (0.825, 0.175, 0.250)
Os (0.825, 0.650, 0.250)

---

Entry 4:
Sr2ZnRu | PBE | optimized geometry

Output
* energy relative to the elements: 0.316 eV per atom
* SG: Cmmm, No. 65

a = 5.266 Å, b = 5.266 Å, c = 3.751 Å
α = 90.00°, β = 90.00°, γ = 90.08°
Sites, in units of the cell vectors:
Sr (0.000, 0.500, 0.000)
Sr (0.500, 0.000, 0.000)
Zn (0.000, 0.000, 0.500)
Ru (0.500, 0.500, 0.500)

---

Entry 5:
BaAlCdGe2 | PBE | optimized geometry

Output
* energy relative to the elements: -0.317 eV per atom
* SG: I-4m2, No. 119

a = 6.835 Å, b = 6.835 Å, c = 6.835 Å
α = 141.37°, β = 141.37°, γ = 55.79°
Sites, in units of the cell vectors:
Ba (0.000, 0.000, 0.000)
Al (0.750, 0.250, 0.500)
Cd (0.250, 0.750, 0.500)
Ge (0.383, 0.383, 0.000)
Ge (0.617, 0.617, 0.000)

---

Entry 6:
K6Na3AlSb4 | PBE | optimized geometry

Output
* SG: P6_3/mmc, No. 194
* ΔE_f (raw): -454 meV per atom

a = 10.289 Å, b = 10.289 Å, c = 10.555 Å
α = 90.00°, β = 90.00°, γ = 120.00°
Sites, in units of the cell vectors:
K (0.207, 0.414, 0.042)
K (0.207, 0.414, 0.458)
K (0.207, 0.793, 0.042)
K (0.207, 0.793, 0.458)
K (0.414, 0.207, 0.542)
K (0.414, 0.207, 0.958)
K (0.586, 0.793, 0.042)
K (0.586, 0.793, 0.458)
K (0.793, 0.207, 0.542)
K (0.793, 0.207, 0.958)
K (0.793, 0.586, 0.542)
K (0.793, 0.586, 0.958)
Na (0.116, 0.233, 0.750)
Na (0.116, 0.884, 0.750)
Na (0.233, 0.116, 0.250)
Na (0.767, 0.884, 0.750)
Na (0.884, 0.116, 0.250)
Na (0.884, 0.767, 0.250)
Al (0.333, 0.667, 0.750)
Al (0.667, 0.333, 0.250)
Sb (0.000, 0.000, 0.000)
Sb (0.000, 0.000, 0.500)
Sb (0.037, 0.519, 0.750)
Sb (0.481, 0.519, 0.750)
Sb (0.481, 0.963, 0.750)
Sb (0.519, 0.037, 0.250)
Sb (0.519, 0.481, 0.250)
Sb (0.963, 0.481, 0.250)

---

Entry 7:
CsCuBiSe3 | PBE | optimized geometry

Output
* SG: P2_1/m, No. 11
* ΔE_f (raw): -551 meV per atom

a = 10.053 Å, b = 4.205 Å, c = 10.081 Å
α = 90.00°, β = 111.16°, γ = 90.00°
Sites, in units of the cell vectors:
Cs (0.201, 0.250, 0.236)
Cs (0.799, 0.750, 0.764)
Cu (0.079, 0.250, 0.589)
Cu (0.921, 0.750, 0.411)
Bi (0.333, 0.750, 0.861)
Bi (0.667, 0.250, 0.139)
Se (0.124, 0.250, 0.846)
Se (0.177, 0.750, 0.532)
Se (0.465, 0.750, 0.161)
Se (0.535, 0.250, 0.839)
Se (0.823, 0.250, 0.468)
Se (0.876, 0.750, 0.154)

---

Entry 8:
Li2HfS3 | PBE | optimized geometry

Output
* SG: C2/c, No. 15
* ΔE_f (raw): -1503 meV per atom
* energy above the lowest structure with this stoichiometry: 21 meV per atom

a = 6.386 Å, b = 6.386 Å, c = 6.355 Å
α = 100.45°, β = 100.45°, γ = 118.88°
Sites, in units of the cell vectors:
Li (0.086, 0.914, 0.750)
Li (0.254, 0.746, 0.250)
Li (0.746, 0.254, 0.750)
Li (0.914, 0.086, 0.250)
Hf (0.415, 0.585, 0.750)
Hf (0.585, 0.415, 0.250)
S (0.000, 0.500, 0.500)
S (0.186, 0.341, 0.992)
S (0.341, 0.186, 0.492)
S (0.500, 0.000, 0.000)
S (0.659, 0.814, 0.508)
S (0.814, 0.659, 0.008)

---

no.,theoretical density (g cm⁻³),M_tot (μB per cell)
1,5.52,1.38
2,15.40,0.00
3,17.18,0.00
4,5.45,0.00
5,5.67,0.00
6,2.81,0.00
7,5.37,0.00
8,4.52,0.00